Record 1
First-principles (PBE) data for La3TaTi2O11 after structural relaxation, as listed in the Alexandria database.

Unit cell a=3.9411 b=20.4270 c=5.6506 alpha=90.00 beta=90.00 gamma=90.00
With the nearest neighbours (Å) after each atom.
Space group Pmc2_1 (No. 26)
Inequivalent atoms, fractional coordinates:
La 0.0000 0.0651 0.0000 [2 per cell]  7 O 2.42-2.62
La 0.0000 0.2578 0.4226 [2 per cell]  6 O 2.40-2.65
La 0.5000 0.3716 0.9105 [2 per cell]  7 O 2.43-2.68
Ta 0.0000 0.4375 0.4568 [2 per cell]  6 O 1.92-2.11
Ti 0.5000 0.0775 0.5038 [2 per cell]  2 O 1.78-1.92
Ti 0.5000 0.2046 0.9705 [2 per cell]  5 O 1.81-2.00
O 0.0000 0.0624 0.5430 [2 per cell]  2 Ti 2.01
O 0.0000 0.1929 0.0164 [2 per cell]  2 Ti 2.00
O 0.0000 0.3538 0.6662 [2 per cell]  1 Ta 2.08
O 0.0000 0.3805 0.1869 [2 per cell]  1 Ta 1.92
O 0.0000 0.4789 0.7982 [2 per cell]  2 Ta 1.93-2.11
O 0.5000 0.0159 0.2460 [2 per cell]  1 Ti 1.92
O 0.5000 0.1157 0.8304 [2 per cell]  2 Ti 1.98-2.00
O 0.5000 0.1495 0.3257 [2 per cell]  1 Ti 1.78
O 0.5000 0.2549 0.7063 [2 per cell]  1 Ti 1.81
O 0.5000 0.2778 0.1824 [2 per cell]  1 Ti 1.92
O 0.5000 0.4348 0.4957 [2 per cell]  2 Ta 1.98

=====

Record 2
First-principles (PBE) data for LaTa2TlO7 after structural relaxation, as listed in the Alexandria database.

Unit cell a=3.9054 b=3.9054 c=11.3448 alpha=90.00 beta=90.00 gamma=90.00
With the nearest neighbours (Å) after each atom.
Space group P4/mmm (No. 123)
Inequivalent atoms, fractional coordinates:
La 0.0000 0.0000 0.0000 [1 per cell]  12 O 2.70-2.76
Ta 0.5000 0.5000 0.2025 [2 per cell]  5 O 1.81-2.00
Tl 0.0000 0.0000 0.5000 [1 per cell]  8 O 3.18
O 0.0000 0.5000 0.1643 [4 per cell]  2 Ta 2.00
O 0.5000 0.5000 0.0000 [1 per cell]  2 Ta 2.30
O 0.5000 0.5000 0.3618 [2 per cell]  1 Ta 1.81

=====

Listing E_form (uncorrected) for the structures above in their given order: -3.30 -2.76 eV/atom.